Record 1
Below is an optimized crystal structure of Li2NdPb2, with properties calculated at the PBE level.

abc: 9.1615 5.3909 5.2975
angles: 90.00 109.90 90.00
With the nearest neighbours (Å) after each atom.
Space group C2/m (No. 12)
Asymmetric unit:
Li  0.1090  0.0000  0.2376 [4 per cell]  1 Li 2.63, 2 Pb 2.87-2.88
Nd  0.0000  0.5000  0.5000 [2 per cell]  6 Li 3.34-3.37, 8 Pb 3.34-3.60
Pb  0.2399  0.0000  0.8157 [4 per cell]  5 Li 2.87-3.11

Calculated values
Its offset from the most stable computed form is 0.074 eV per atom. The energy relative to the elements is -0.310 eV/atom. The total magnetic moment is 0.00 μB per atom. Its crystal system is monoclinic.

---

Record 2
Below is an optimized crystal structure of Rb2NaRuBr6, with properties calculated at the PBE level.

abc: 10.8937 10.8937 10.8937
angles: 90.00 90.00 90.00
With the nearest neighbours (Å) after each atom.
Space group Fm-3m (No. 225)
Asymmetric unit:
Rb  0.2500  0.2500  0.2500 [8 per cell]  12 Br 3.86
Na  0.0000  0.0000  0.0000 [4 per cell]  6 Br 2.91
Ru  0.0000  0.0000  0.5000 [4 per cell]  6 Br 2.53
Br  0.0000  0.0000  0.2675 [24 per cell]  1 Ru 2.53

Calculated values
The total magnetic moment is 0.10 μB per atom. Its crystal system is cubic. Its uncorrected formation energy is -1.0785 eV per atom.

---

Record 3
Below is an optimized crystal structure of DyHo3Se6, with properties calculated at the PBE level.

abc: 11.5334 4.0839 11.8162
angles: 90.00 109.14 90.00
With the nearest neighbours (Å) after each atom.
Space group P2_1/m (No. 11)
Asymmetric unit:
Dy  0.0436  0.2500  0.1921 [2 per cell]  8 Se 2.94-3.12
Ho  0.1591  0.2500  0.5830 [2 per cell]  6 Se 2.78-2.89
Ho  0.3172  0.7500  0.9983 [2 per cell]  7 Se 2.81-3.06
Ho  0.4322  0.2500  0.3324 [2 per cell]  6 Se 2.80-2.89
Se  0.0827  0.7500  0.4011 [2 per cell]  3 Ho 2.85-2.89, 2 Dy 3.12
Se  0.1110  0.2500  0.9649 [2 per cell]  3 Dy 2.94-3.03, 2 Ho 3.06
Se  0.1922  0.7500  0.7503 [2 per cell]  3 Ho 2.78-2.81, 1 Dy 3.01
Se  0.2533  0.7500  0.2228 [2 per cell]  3 Ho 2.89-2.98, 2 Dy 3.09
Se  0.3959  0.2500  0.5626 [2 per cell]  4 Ho 2.82-2.88
Se  0.4799  0.2500  0.1152 [2 per cell]  4 Ho 2.80-3.06

Calculated values
Its offset from the most stable computed form is 0.000 eV per atom. The total magnetic moment is 0.00 μB per atom. Its crystal system is monoclinic. Its uncorrected formation energy is -1.8602 eV per atom.

---

Record 4
Below is an optimized crystal structure of Ho2CdRh3, with properties calculated at the PBE level.

abc: 3.3860 3.3860 9.7971
angles: 90.00 90.00 90.00
With the nearest neighbours (Å) after each atom.
Space group P4/mmm (No. 123)
Asymmetric unit:
Ho  0.0000  0.0000  0.1763 [2 per cell]  8 Rh 2.87-2.95, 1 Cd 3.17
Cd  0.0000  0.0000  0.5000 [1 per cell]  8 Rh 2.87, 2 Ho 3.17
Rh  0.5000  0.5000  0.0000 [1 per cell]  8 Ho 2.95
Rh  0.5000  0.5000  0.3387 [2 per cell]  4 Cd 2.87, 4 Ho 2.87, 1 Rh 3.16

Calculated values
Its offset from the most stable computed form is 0.046 eV per atom. The energy relative to the elements is -0.674 eV/atom. The total magnetic moment is 0.00 μB per atom. Its crystal system is tetragonal.

---

Record 5
Below is an optimized crystal structure of CeDyIrPd, with properties calculated at the PBE level.

abc: 4.1694 3.8199 11.2221
angles: 90.00 90.00 90.00
With the nearest neighbours (Å) after each atom.
Space group Amm2 (No. 38)
Asymmetric unit:
Ce  0.0000  0.0000  0.0000 [2 per cell]  4 Ir 2.86, 3 Pd 3.12-3.14
Dy  0.5000  0.0000  0.2762 [2 per cell]  4 Pd 2.90, 1 Ir 2.92
Ir  0.5000  0.0000  0.5362 [2 per cell]  4 Ce 2.86, 1 Dy 2.92, 2 Pd 2.93
Pd  0.0000  0.0000  0.7202 [2 per cell]  4 Dy 2.90, 2 Ir 2.93, 3 Ce 3.12-3.14

Calculated values
Its offset from the most stable computed form is 0.000 eV per atom. The energy relative to the elements is -0.852 eV/atom. The total magnetic moment is 0.00 μB per atom. Its crystal system is orthorhombic.

---

Record 6
Below is an optimized crystal structure of Ir3RhW, with properties calculated at the PBE level.

abc: 4.7050 4.7050 4.7050
angles: 90.00 90.00 90.00
With the nearest neighbours (Å) after each atom.
Space group Pm-3m (No. 221)
Asymmetric unit:
Ir  0.0000  0.0000  0.5000 [3 per cell]  2 W 2.35
Rh  0.5000  0.5000  0.5000 [1 per cell]  12 Ir 3.33
W  0.0000  0.0000  0.0000 [1 per cell]  6 Ir 2.35

Calculated values
Its offset from the most stable computed form is 2.024 eV per atom. The energy relative to the elements is 1.865 eV/atom. The total magnetic moment is 0.34 μB per atom. Its crystal system is cubic.

---

Record 7
Below is an optimized crystal structure of TaMnAlCu, with properties calculated at the PBE level.

abc: 6.0450 6.0450 6.0450
angles: 90.00 90.00 90.00
With the nearest neighbours (Å) after each atom.
Space group F-43m (No. 216)
Asymmetric unit:
Ta  0.0000  0.0000  0.0000 [4 per cell]  4 Mn 2.62, 4 Cu 2.62
Mn  0.2500  0.2500  0.2500 [4 per cell]  4 Ta 2.62, 4 Al 2.62
Al  0.0000  0.0000  0.5000 [4 per cell]  4 Cu 2.62, 4 Mn 2.62
Cu  0.2500  0.2500  0.7500 [4 per cell]  4 Ta 2.62, 4 Al 2.62

Calculated values
The energy relative to the elements is -0.088 eV/atom. The total magnetic moment is 0.00 μB per atom. Its crystal system is cubic.

---

Record 8
Below is an optimized crystal structure of Ba2CaI6, with properties calculated at the PBE level.

abc: 8.5567 8.5567 7.1405
angles: 90.00 90.00 120.00
With the nearest neighbours (Å) after each atom.
Space group P-31m (No. 162)
Asymmetric unit:
Ba  0.3333  0.6667  0.0000 [2 per cell]  6 I 3.48
Ca  0.0000  0.0000  0.5000 [1 per cell]  6 I 3.19
I  0.0000  0.3164  0.7375 [6 per cell]  1 Ca 3.19, 2 Ba 3.48

Calculated values
The total magnetic moment is 0.00 μB per atom. Its crystal system is trigonal. Its uncorrected formation energy is -1.6653 eV per atom.

---

Record 9
Below is an optimized crystal structure of MnTc2Br, with properties calculated at the PBE level.

abc: 2.9839 4.7923 8.8623
angles: 90.00 90.00 90.00
With the nearest neighbours (Å) after each atom.
Space group Cmmm (No. 65)
Asymmetric unit:
Mn  0.0000  0.0000  0.0000 [2 per cell]  4 Tc 2.48
Tc  0.0000  0.5000  0.2239 [4 per cell]  2 Mn 2.48
Br  0.0000  0.0000  0.5000 [2 per cell]  6 Br 2.82-2.98, 4 Tc 2.87

Calculated values
Its offset from the most stable computed form is 0.456 eV per atom. The total magnetic moment is 0.37 μB per atom. Its crystal system is orthorhombic. Its uncorrected formation energy is 0.7568 eV per atom.

---

Record 10
Below is an optimized crystal structure of TcRhN2F, with properties calculated at the PBE level.

abc: 3.9333 3.9333 4.0346
angles: 90.00 90.00 90.00
With the nearest neighbours (Å) after each atom.
Space group P4/mmm (No. 123)
Asymmetric unit:
Tc  0.0000  0.0000  0.0000 [1 per cell]  4 F 2.78, 8 N 2.82
Rh  0.5000  0.5000  0.5000 [1 per cell]  4 N 1.97, 2 F 2.02
N  0.0000  0.5000  0.5000 [2 per cell]  2 Rh 1.97
F  0.5000  0.5000  0.0000 [1 per cell]  2 Rh 2.02

Calculated values
Its offset from the most stable computed form is 0.496 eV per atom. The total magnetic moment is 0.48 μB per atom. Its crystal system is tetragonal. Its uncorrected formation energy is 1.0543 eV per atom.

---

Record 11
Below is an optimized crystal structure of Tb5Pm4Sc, with properties calculated at the PBE level.

abc: 10.6112 10.6112 5.9004
angles: 90.00 90.00 90.00
With the nearest neighbours (Å) after each atom.
Space group I4mm (No. 107)
Asymmetric unit:
Tb  0.0000  0.0000  0.0000 [2 per cell]  1 Sc 2.77
Tb  0.1861  0.1861  0.7125 [8 per cell]  1 Sc 3.14, 1 Tb 3.27, 2 Pm 3.34
Pm  0.0000  0.3222  0.2361 [8 per cell]  5 Tb 3.34-3.73, 1 Sc 3.69
Sc  0.0000  0.0000  0.4700 [2 per cell]  1 Tb 2.77

Calculated values
Its offset from the most stable computed form is 0.192 eV per atom. The energy relative to the elements is 0.217 eV/atom. The total magnetic moment is 0.00 μB per atom. Its crystal system is tetragonal.